VASP calculation (PBE+U) on an optimized crystal structure of NaMn4O8.

Total DFT energy (no corrections) in eV per atom: -6.917
Energy above the most stable polymorph in this dataset in eV/atom: 0.011

Unit cell a=13.8013 b=2.9737 c=9.7095 alpha=90.00 beta=132.97 gamma=90.00
Closest atoms and distances in Å follow each position.
Space group Cm (No. 8)
Symmetry-distinct sites (fractional):
Na 0.0000 0.0000 0.0000 (multiplicity 2)  4 O 2.55-2.56
Mn 0.2003 0.0000 0.5393 (multiplicity 2)  6 O 1.92-1.98
Mn 0.2168 0.5000 0.8801 (multiplicity 2)  6 O 1.92-1.99
Mn 0.3910 0.0000 0.2456 (multiplicity 2)  6 O 1.93-2.05
Mn 0.4074 0.5000 0.5869 (multiplicity 2)  6 O 1.93-2.02
O 0.0114 0.0000 0.3337 (multiplicity 2)  3 Mn 1.92-1.94
O 0.0975 0.0000 0.7934 (multiplicity 2)  3 Mn 1.93
O 0.2020 0.5000 0.6683 (multiplicity 2)  3 Mn 1.92-1.93
O 0.2140 0.5000 0.4193 (multiplicity 2)  3 Mn 1.96-1.98
O 0.2614 0.5000 0.1209 (multiplicity 2)  3 Mn 1.97-1.98
O 0.3473 0.0000 0.9969 (multiplicity 2)  3 Mn 1.99-2.05
O 0.3949 0.0000 0.7153 (multiplicity 2)  3 Mn 1.97-2.02
O 0.4055 0.0000 0.4579 (multiplicity 2)  3 Mn 1.93